No. 1
DFT (GGA-PBE) results for an optimized crystal structure of Sr2PmZn6.

* D(E_F): 6.71 states/eV/f.u.
* volume: 23.942 A^3/atom
* energy of formation: -24.4 kJ/mol of atoms
* density: 5.5 g/cm3

Cell lengths 7.9344, 7.9344, 3.9522 Å; angles 90.00, 90.00, 120.00 degrees
With the nearest neighbours (Å) after each atom.
Space group P6/mmm (No. 191)
Asymmetric unit:
1 Sr 0.3333 0.6667 0.0000 x2  12 Zn 3.32
2 Pm 0.0000 0.0000 0.0000 x1  12 Zn 3.27
3 Zn 0.0000 0.3289 0.5000 x6  3 Zn 2.61-2.71


No. 2
DFT (GGA-PBE) results for an optimized crystal structure of TlN2Cl.

* energy above the most stable polymorph in this dataset: 0.0 kJ/mol of formula units
* D(E_F): 0.00 states/eV/f.u.
* formation energy from raw total energies: -1.85 eV/f.u.
* volume: 33.789 A^3/atom
* density: 3.3 g/cm3

Cell lengths 4.1016, 7.7577, 8.7370 Å; angles 90.02, 103.51, 90.04 degrees
With the nearest neighbours (Å) after each atom.
Space group P-1 (No. 2)
Asymmetric unit:
1 Tl 0.0703 0.2501 0.1413 x2  4 Cl 3.07
2 N 0.1948 0.6786 0.3935 x2  1 N 1.11
3 N 0.1980 0.8221 0.3934 x2  1 N 1.11
4 Cl 0.5000 0.0000 0.0000 x1  4 Tl 3.07
5 Cl 0.5000 0.5000 0.0000 x1  4 Tl 3.07


No. 3
DFT (GGA-PBE) results for an optimized crystal structure of NaNp2AgO8.

* D(E_F): 1.16 states/eV/f.u.
* formation energy from raw total energies: -23.27 eV/f.u.
* volume: 12.588 A^3/atom
* density: 8.1 g/cm3

Cell lengths 5.4013, 5.4013, 10.3553 Å; angles 90.00, 90.00, 90.00 degrees
With the nearest neighbours (Å) after each atom.
Space group I-4 (No. 82)
Asymmetric unit:
1 Na 0.0000 0.0000 0.0000 x2  8 O 2.42-2.43
2 Np 0.0000 0.0000 0.5000 x2  4 O 2.04
3 Np 0.0000 0.5000 0.2500 x2  4 O 2.04
4 Ag 0.0000 0.5000 0.7500 x2  8 O 2.42-2.43
5 O 0.2162 0.7746 0.3893 x8  1 Np 2.04
6 O 0.2176 0.2752 0.3605 x8  1 Np 2.04


No. 4
DFT (GGA-PBE) results for an optimized crystal structure of K2RbAlAg.

* D(E_F): 3.09 states/eV/f.u.
* volume: 45.109 A^3/atom
* energy of formation: 14.8 kJ/mol of atoms
* density: 2.2 g/cm3

Cell lengths 6.6585, 6.6585, 5.0872 Å; angles 90.00, 90.00, 90.00 degrees
With the nearest neighbours (Å) after each atom.
Space group P4/mmm (No. 123)
Asymmetric unit:
1 K 0.0000 0.5000 0.0000 x2  2 Ag 3.33
2 Rb 0.0000 0.0000 0.5000 x1  8 K 4.19
3 Al 0.5000 0.5000 0.5000 x1  2 Ag 2.54
4 Ag 0.5000 0.5000 0.0000 x1  2 Al 2.54


No. 5
DFT (GGA-PBE) results for an optimized crystal structure of K2SN.

* energy above the most stable polymorph in this dataset: 71.9 kJ/mol of formula units
* D(E_F): 0.00 states/eV/f.u.
* formation energy from raw total energies: 1.34 eV/f.u.
* volume: 25.800 A^3/atom
* density: 2.0 g/cm3

Cell lengths 7.4458, 7.4458, 7.4458 Å; angles 90.00, 90.00, 90.00 degrees
With the nearest neighbours (Å) after each atom.
Space group Fm-3m (No. 225)
Asymmetric unit:
1 K 0.2500 0.2500 0.2500 x8  4 S 3.22, 4 N 3.22
2 S 0.0000 0.0000 0.0000 x4  8 K 3.22
3 N 0.0000 0.0000 0.5000 x4  8 K 3.22


No. 6
DFT (GGA-PBE) results for an optimized crystal structure of KReTc2.

* energy above the most stable polymorph in this dataset: 34.4 kJ/mol of formula units
* D(E_F): 3.43 states/eV/f.u.
* volume: 17.711 A^3/atom
* energy of formation: 77.2 kJ/mol of atoms
* density: 9.9 g/cm3

Cell lengths 2.9480, 4.6060, 10.4347 Å; angles 90.00, 90.00, 90.00 degrees
With the nearest neighbours (Å) after each atom.
Space group Cmmm (No. 65)
Asymmetric unit:
1 K 0.0000 0.0000 0.0000 x2  6 K 2.73-2.95
2 Re 0.0000 0.0000 0.5000 x2  4 Tc 2.65, 6 Re 2.73-2.95
3 Tc 0.0000 0.5000 0.2893 x4  2 Re 2.65, 6 Tc 2.73-2.95


The lowest volume belongs to which entry?
NaNp2AgO8